Compound: CrAgHgBr2
Source: Alexandria
Functional: PBE-GGA
Structure: relaxed

abc: 5.455 5.436 5.455
angles: 90.00 90.00 90.00
Element x y z (fractional)
1 Cr 0.500 0.500 0.500
2 Br 0.000 0.000 0.500
3 Br 0.500 0.000 0.000
4 Hg 0.000 0.500 0.000
5 Ag 0.000 0.000 0.000

ρ: 5.3 g/cm³
Magnetization: 5.002 μB per formula unit
Raw total energy: -14.4 eV for the cell shown

=====

Compound: Cs3AcSm2Te6
Source: Alexandria
Functional: PBE-GGA
Structure: relaxed

abc: 8.185 8.185 9.364
angles: 98.39 98.39 120.00
Element x y z (fractional)
1 Cs 0.164 0.836 0.500
2 Cs 0.836 0.164 0.500
3 Cs 0.500 0.500 0.500
4 Ac 0.000 0.000 0.000
5 Sm 0.333 0.667 0.000
6 Sm 0.667 0.333 0.000
7 Te 0.935 0.588 0.804
8 Te 0.718 0.718 0.195
9 Te 0.065 0.412 0.196
10 Te 0.588 0.935 0.804
11 Te 0.282 0.282 0.805
12 Te 0.412 0.065 0.196

ρ: 5.4 g/cm³
Magnetization: 0.000 μB per formula unit
Raw total energy: -52.2 eV for the cell shown

=====

Compound: SrZn2InAs
Source: Alexandria
Functional: PBE-GGA
Structure: relaxed

abc: 5.062 5.646 5.062
angles: 90.00 90.00 90.00
Element x y z (fractional)
1 Sr 0.500 0.500 0.500
2 As 0.000 0.500 0.000
3 Zn 0.000 0.000 0.500
4 Zn 0.500 0.000 0.000
5 In 0.000 0.000 0.000

ρ: 4.7 g/cm³
Formation energy from the elements: 0.146 eV per formula unit
Magnetization: 0.000 μB per formula unit

=====

Compound: Ca2MgTa
Source: Alexandria
Functional: PBE-GGA
Structure: relaxed

abc: 11.528 11.528 11.528
angles: 16.38 16.38 16.38
Element x y z (fractional)
1 Ca 0.007 0.007 0.007
2 Ca 0.493 0.493 0.493
3 Mg 0.250 0.250 0.250
4 Ta 0.750 0.750 0.750

ρ: 4.5 g/cm³
Formation energy from the elements: 1.938 eV per formula unit
Magnetization: 0.000 μB per formula unit

=====

Compound: Mg6CoBi
Source: Alexandria
Functional: PBE-GGA
Structure: relaxed

abc: 6.423 6.423 4.860
angles: 90.00 90.00 120.91
Element x y z (fractional)
1 Mg 0.164 0.308 0.000
2 Mg 0.692 0.836 0.000
3 Mg 0.668 0.332 0.000
4 Mg 0.324 0.141 0.500
5 Mg 0.859 0.676 0.500
6 Mg 0.833 0.167 0.500
7 Co 0.129 0.871 0.000
8 Bi 0.331 0.669 0.500

ρ: 4.0 g/cm³
Formation energy from the elements: 0.683 eV per formula unit
Energy above the lowest structure with this stoichiometry: 0.0 meV per atom
Magnetization: 1.043 μB per formula unit

=====

Compound: ZnHg2Br
Source: Alexandria
Functional: PBE-GGA
Structure: relaxed

abc: 5.327 5.327 5.327
angles: 60.00 60.00 60.00
Element x y z (fractional)
1 Zn 0.000 0.000 0.000
2 Hg 0.250 0.250 0.250
3 Hg 0.750 0.750 0.750
4 Br 0.500 0.500 0.500

ρ: 8.5 g/cm³
Energy above the lowest structure with this stoichiometry: 298.5 meV per atom
Magnetization: 0.000 μB per formula unit